Record 1
Nd2AlZn4Pd3 | PBE | relaxed

Unit cell a=3.9941 b=3.9941 c=12.0226 alpha=90.00 beta=90.00 gamma=90.00
Closest atoms and distances in Å follow each position.
Atoms (fractional coordinates):
Pd1 0.0000 0.5000 0.1439  5 Zn 2.60-2.64
Zn1 0.0000 0.0000 0.0000  4 Pd 2.64, 4 Zn 2.82
Al1 0.5000 0.5000 0.5000  4 Zn 2.61, 4 Pd 2.82
Zn2 0.5000 0.5000 0.0000  4 Pd 2.64, 4 Zn 2.82
Nd1 0.5000 0.0000 0.2468  4 Pd 3.08, 4 Zn 3.13
Pd2 0.0000 0.0000 0.5000  4 Zn 2.61, 4 Al 2.82
Zn3 0.5000 0.0000 0.6400  3 Pd 2.60-2.61, 2 Al 2.61
Nd2 0.0000 0.5000 0.7532  4 Pd 3.08, 4 Zn 3.13
Pd3 0.5000 0.0000 0.8561  5 Zn 2.60-2.64
Zn4 0.0000 0.5000 0.3600  3 Pd 2.60-2.61, 2 Al 2.61

- final energy (eV/atom) = -3.97
- magnetic moment (Bohr magnetons per cell) = 0.0
- Fermi-level density of states (states/eV per atom) = 0.529
- symmetry = No. 115

---

Record 2
Sm6HoTm12 | PBE | relaxed

Unit cell a=8.6325 b=8.6325 c=8.6325 alpha=98.64 beta=98.64 gamma=98.64
Closest atoms and distances in Å follow each position.
Atoms (fractional coordinates):
Tm1 0.9183 0.6454 0.6454  6 Tm 3.31-3.57, 2 Sm 3.66
Tm2 0.2433 0.5000 0.7567  6 Tm 3.31-3.50, 4 Sm 3.43-3.54
Tm3 0.5000 0.7567 0.2433  6 Tm 3.31-3.50, 4 Sm 3.43-3.54
Sm1 0.0987 0.6560 0.0987  1 Sm 3.07, 1 Ho 3.40, 2 Tm 3.43
Sm2 0.3440 0.9013 0.9013  1 Sm 3.07, 1 Ho 3.40, 2 Tm 3.43
Tm4 0.0817 0.3546 0.3546  6 Tm 3.31-3.57, 2 Sm 3.66
Ho1 0.0000 0.0000 0.0000  6 Sm 3.40
Sm3 0.0987 0.0987 0.6560  1 Sm 3.07, 1 Ho 3.40, 2 Tm 3.43
Tm5 0.5000 0.2433 0.7567  6 Tm 3.31-3.50, 4 Sm 3.43-3.54
Sm4 0.9013 0.9013 0.3440  1 Sm 3.07, 1 Ho 3.40, 2 Tm 3.43
Tm6 0.3546 0.0817 0.3546  6 Tm 3.31-3.57, 2 Sm 3.66
Tm7 0.6454 0.9183 0.6454  6 Tm 3.31-3.57, 2 Sm 3.66
Sm5 0.6560 0.0987 0.0987  1 Sm 3.07, 1 Ho 3.40, 2 Tm 3.43
Tm8 0.7567 0.5000 0.2433  6 Tm 3.31-3.50, 4 Sm 3.43-3.54
Tm9 0.7567 0.2433 0.5000  6 Tm 3.31-3.50, 4 Sm 3.43-3.54
Tm10 0.3546 0.3546 0.0817  6 Tm 3.31-3.57, 2 Sm 3.66
Tm11 0.6454 0.6454 0.9183  6 Tm 3.31-3.57, 2 Sm 3.66
Sm6 0.9013 0.3440 0.9013  1 Sm 3.07, 1 Ho 3.40, 2 Tm 3.43
Tm12 0.2433 0.7567 0.5000  6 Tm 3.31-3.50, 4 Sm 3.43-3.54

- final energy (eV/atom) = -4.33
- ΔE to the lowest computed polymorph (eV/atom) = 0.096
- magnetic moment (Bohr magnetons per cell) = 0.0
- Fermi-level density of states (states/eV per atom) = 1.670
- symmetry = No. 166

---

Record 3
Y2AgAs | PBE | relaxed

Unit cell a=3.6834 b=3.6721 c=7.7479 alpha=63.37 beta=90.00 gamma=90.00
Closest atoms and distances in Å follow each position.
Atoms (fractional coordinates):
As1 0.5000 0.7500 0.7500  8 Y 3.01-3.14
Ag1 0.5000 0.2500 0.2500  8 Y 3.17-3.18, 2 As 3.46
Y1 0.0000 0.5026 0.5129  4 As 3.01-3.14, 4 Ag 3.17-3.18, 1 Y 3.29
Y2 0.0000 0.9974 0.9871  4 As 3.01-3.14, 4 Ag 3.17-3.18, 1 Y 3.29

- final energy (eV/atom) = -5.84
- magnetic moment (Bohr magnetons per cell) = 0.0
- Fermi-level density of states (states/eV per atom) = 0.744
- symmetry = No. 10

---

Record 4
CaSbPb2 | PBE | relaxed

Unit cell a=9.0933 b=9.0933 c=7.1823 alpha=50.73 beta=50.73 gamma=90.00
Closest atoms and distances in Å follow each position.
Atoms (fractional coordinates):
Pb1 0.3750 0.3438 0.7500  2 Sb 3.13, 2 Pb 3.25
Ca1 0.2500 0.7500 0.5000  2 Sb 3.20, 4 Pb 3.51
Sb1 0.7500 0.2500 0.5000  4 Pb 3.13, 2 Ca 3.20
Sb2 0.0000 0.0000 0.0000  4 Pb 3.13, 2 Ca 3.20
Ca2 0.5000 0.5000 0.0000  2 Sb 3.20, 4 Pb 3.51
Pb2 0.6562 0.1250 0.2500  2 Sb 3.13, 2 Pb 3.25
Pb3 0.8750 0.9062 0.7500  2 Sb 3.13, 2 Pb 3.25
Pb4 0.0938 0.6250 0.2500  2 Sb 3.13, 2 Pb 3.25

- final energy (eV/atom) = -3.61
- formation energy without anion corrections (kJ/mol of formula units) = -86
- magnetic moment (Bohr magnetons per cell) = 0.0
- Fermi-level density of states (states/eV per atom) = 0.604
- symmetry = No. 122

---

Record 5
La2TlIn2 | PBE | relaxed

Unit cell a=5.0627 b=6.4325 c=10.5697 alpha=92.21 beta=76.14 gamma=66.83
Closest atoms and distances in Å follow each position.
Atoms (fractional coordinates):
In1 0.9350 0.6985 0.4315  1 In 2.91, 2 Tl 3.03
Tl1 0.5164 0.2454 0.7219  3 In 3.00-3.03, 3 La 3.33-3.34
Tl2 0.4836 0.7546 0.2781  3 In 3.00-3.03, 3 La 3.33-3.34
La1 0.2878 0.7759 0.6486  5 In 3.33-3.38, 1 Tl 3.33
La2 0.1083 0.7196 0.0637  2 Tl 3.34, 5 In 3.37-3.62, 2 La 3.72
In2 0.0650 0.3015 0.5685  1 In 2.91, 2 Tl 3.03
In3 0.6448 0.8418 0.8685  1 Tl 3.00, 1 In 3.05
La3 0.7122 0.2241 0.3514  5 In 3.33-3.38, 1 Tl 3.33
In4 0.3552 0.1582 0.1315  1 Tl 3.00, 1 In 3.05
La4 0.8917 0.2804 0.9363  2 Tl 3.34, 5 In 3.37-3.62, 2 La 3.72

- final energy (eV/atom) = -3.99
- magnetic moment (Bohr magnetons per cell) = 0.0
- Fermi-level density of states (states/eV per atom) = 0.553
- symmetry = No. 12

---

Record 6
BeTl2Hg2 | PBE | relaxed

Unit cell a=6.6492 b=6.6492 c=5.8308 alpha=90.00 beta=90.00 gamma=90.00
Closest atoms and distances in Å follow each position.
Atoms (fractional coordinates):
Tl1 0.8206 0.3206 0.5000  2 Hg 3.23, 5 Tl 3.37-3.45
Be1 0.5000 0.5000 0.0000  4 Hg 2.46
Hg1 0.1724 0.3276 0.0000  2 Be 2.46
Be2 0.0000 0.0000 0.0000  4 Hg 2.46
Tl2 0.6794 0.8206 0.5000  2 Hg 3.23, 5 Tl 3.37-3.45
Hg2 0.6724 0.1724 0.0000  2 Be 2.46
Tl3 0.3206 0.1794 0.5000  2 Hg 3.23, 5 Tl 3.37-3.45
Tl4 0.1794 0.6794 0.5000  2 Hg 3.23, 5 Tl 3.37-3.45
Hg3 0.3276 0.8276 0.0000  2 Be 2.46
Hg4 0.8276 0.6724 0.0000  2 Be 2.46

- final energy (eV/atom) = -1.55
- ΔE to the lowest computed polymorph (eV/atom) = 0.000
- magnetic moment (Bohr magnetons per cell) = 0.0
- Fermi-level density of states (states/eV per atom) = 0.441
- symmetry = No. 127

---

Record 7
Ag2Sn3Br8 | PBE | relaxed

Unit cell a=7.6161 b=8.8615 c=8.4173 alpha=121.76 beta=107.86 gamma=90.00
Closest atoms and distances in Å follow each position.
Atoms (fractional coordinates):
Br1 0.2440 0.1160 0.7508  1 Ag 2.67
Br2 0.2610 0.1301 0.2602  1 Ag 2.98, 3 Sn 3.04-3.14
Br3 0.7390 0.8699 0.7398  1 Ag 2.98, 3 Sn 3.04-3.14
Br4 0.7696 0.3740 0.7480  1 Ag 2.70, 2 Sn 2.96
Br5 0.7560 0.3653 0.2492  1 Ag 2.67
Ag1 0.4031 0.3536 0.7071  4 Br 2.67-2.98
Br6 0.7560 0.8840 0.2492  1 Ag 2.67
Br7 0.2304 0.6260 0.2520  1 Ag 2.70, 2 Sn 2.96
Sn1 0.0000 0.2557 0.0000  6 Br 2.96-3.14
Sn2 0.0000 0.7443 0.0000  6 Br 2.96-3.14
Br8 0.2440 0.6347 0.7508  1 Ag 2.67
Sn3 0.5000 0.0000 0.0000  6 Br 3.00-3.04
Ag2 0.5969 0.6464 0.2929  4 Br 2.67-2.98

- final energy (eV/atom) = -3.01
- formation energy without anion corrections (kJ/mol of formula units) = -781
- magnetic moment (Bohr magnetons per cell) = 0.0
- Fermi-level density of states (states/eV per atom) = 0.000
- symmetry = No. 12

---

Record 8
SrGaAu4 | PBE | relaxed

Unit cell a=4.4547 b=6.8883 c=8.6330 alpha=90.00 beta=104.95 gamma=90.00
Closest atoms and distances in Å follow each position.
Atoms (fractional coordinates):
Ga1 0.2333 0.7500 0.4667  7 Au 2.58-2.81
Au1 0.0744 0.7500 0.1487  1 Ga 2.65
Au2 0.6730 0.5478 0.3459  3 Ga 2.58-2.81, 1 Au 2.79
Au3 0.5000 0.5000 0.0000  6 Au 2.90-3.08
Sr1 0.8875 0.7500 0.7749  9 Au 3.12-3.38, 2 Ga 3.40
Au4 0.3270 0.4522 0.6541  3 Ga 2.58-2.81, 1 Au 2.79
Ga2 0.7667 0.2500 0.5333  7 Au 2.58-2.81
Au5 0.5000 0.0000 0.0000  6 Au 2.90-3.08
Au6 0.3270 0.0478 0.6541  3 Ga 2.58-2.81, 1 Au 2.79
Au7 0.9256 0.2500 0.8513  1 Ga 2.65
Au8 0.6730 0.9522 0.3459  3 Ga 2.58-2.81, 1 Au 2.79
Sr2 0.1125 0.2500 0.2251  9 Au 3.12-3.38, 2 Ga 3.40

- final energy (eV/atom) = -3.39
- ΔE to the lowest computed polymorph (eV/atom) = 0.000
- magnetic moment (Bohr magnetons per cell) = 0.0
- Fermi-level density of states (states/eV per atom) = 0.367
- symmetry = No. 63

---

Record 9
LiPtSCl2 | PBE | relaxed

Unit cell a=5.1285 b=5.1285 c=4.5137 alpha=90.00 beta=90.00 gamma=90.00
Closest atoms and distances in Å follow each position.
Atoms (fractional coordinates):
Li1 0.5000 0.5000 0.5000  8 Cl 3.42, 4 S 3.63
Cl1 0.0000 0.5000 0.0000  2 Pt 2.56
S1 0.0000 0.0000 0.5000  2 Pt 2.26
Pt1 0.0000 0.0000 0.0000  2 S 2.26
Cl2 0.5000 0.0000 0.0000  2 Pt 2.56

- final energy (eV/atom) = -3.54
- formation energy without anion corrections (kJ/mol of formula units) = -184
- ΔE to the lowest computed polymorph (eV/atom) = 0.000
- magnetic moment (Bohr magnetons per cell) = 0.0
- Fermi-level density of states (states/eV per atom) = 0.496
- symmetry = No. 123

---

Record 10
Ce2CdPt6 | PBE | relaxed

Unit cell a=6.3733 b=5.6909 c=5.6909 alpha=60.04 beta=90.01 gamma=90.01
Closest atoms and distances in Å follow each position.
Atoms (fractional coordinates):
Ce1 0.8013 0.6667 0.6667  6 Pt 2.96
Pt1 0.6741 0.1741 0.1741  1 Cd 2.69, 6 Pt 2.72-2.97, 2 Ce 2.96
Pt2 0.3262 0.8257 0.3476  1 Cd 2.69, 6 Pt 2.72-2.97, 2 Ce 2.96
Ce2 0.1987 0.3333 0.3333  6 Pt 2.96
Pt3 0.3259 0.8259 0.8259  1 Cd 2.69, 6 Pt 2.72-2.97, 2 Ce 2.96
Pt4 0.3262 0.3476 0.8257  1 Cd 2.69, 6 Pt 2.72-2.97, 2 Ce 2.96
Pt5 0.6738 0.1743 0.6524  1 Cd 2.69, 6 Pt 2.72-2.97, 2 Ce 2.96
Cd1 0.0000 0.0000 0.0000  6 Pt 2.69
Pt6 0.6738 0.6524 0.1743  1 Cd 2.69, 6 Pt 2.72-2.97, 2 Ce 2.96

- final energy (eV/atom) = -6.22
- magnetic moment (Bohr magnetons per cell) = 0.9
- Fermi-level density of states (states/eV per atom) = 1.102
- symmetry = No. 164

---

Record 11
CsRb2Br3 | PBE | relaxed

Unit cell a=5.2441 b=5.2444 c=10.8775 alpha=103.95 beta=103.95 gamma=90.00
Closest atoms and distances in Å follow each position.
Atoms (fractional coordinates):
Br1 0.6045 0.6055 0.2142  5 Rb 3.34-3.71, 1 Cs 3.48
Br2 0.9339 0.9362 0.8740  2 Rb 3.41, 4 Cs 3.71
Rb1 0.7677 0.7687 0.5406  6 Br 3.34-3.71
Rb2 0.1011 0.1021 0.2074  6 Br 3.34-3.71
Br3 0.2643 0.2653 0.5337  5 Rb 3.34-3.71, 1 Cs 3.48
Cs1 0.4338 0.4363 0.8740  6 Br 3.48-3.71

- final energy (eV/atom) = -3.04
- formation energy without anion corrections (kJ/mol of formula units) = -1005
- ΔE to the lowest computed polymorph (eV/atom) = 0.021
- magnetic moment (Bohr magnetons per cell) = 0.0
- Fermi-level density of states (states/eV per atom) = 0.000
- symmetry = No. 42

---

Record 12
TaCdRu2 | PBE | relaxed

Unit cell a=5.3347 b=5.3347 c=5.3347 alpha=144.52 beta=131.15 gamma=61.81
Closest atoms and distances in Å follow each position.
Atoms (fractional coordinates):
Ru1 0.9908 0.9908 0.0000  4 Ta 2.75, 2 Ru 2.82, 2 Cd 2.89
Ru2 0.7393 0.2393 0.5000  2 Ta 2.59, 4 Cd 2.74, 2 Ru 2.82
Cd1 0.2513 0.7513 0.5000  6 Ru 2.74-2.89, 4 Ta 2.94-3.07
Ta1 0.5185 0.5185 0.0000  6 Ru 2.59-2.75

- final energy (eV/atom) = -7.72
- magnetic moment (Bohr magnetons per cell) = 0.0
- Fermi-level density of states (states/eV per atom) = 0.924
- symmetry = No. 44

---

| no. | ρ (g/cm3) |
| --- | --- |
| 1 | 7.760 |
| 2 | 8.303 |
| 3 | 6.392 |
| 4 | 7.232 |
| 5 | 7.781 |
| 6 | 10.550 |
| 7 | 4.464 |
| 8 | 12.265 |
| 9 | 4.266 |
| 10 | 14.515 |
| 11 | 3.209 |
| 12 | 12.535 |